The following is a DFT calculation (PBE+U) of crystalline Li7Mn2Co3O12 at its relaxed geometry.

Geometry as POSCAR:
```
Li7Mn2Co3O12
1.0
-2.9826 -0.0198 0.0163
1.1211 7.4808 -0.0204
-0.3187 -2.9371 -9.6578
Li O Co Mn
7 12 3 2
direct
0.6417 0.8310 0.7396
0.9879 0.4938 0.7384
0.5000 0.5000 0.5000
0.6943 0.8432 0.2608
0.3583 0.1690 0.2604
0.0121 0.5062 0.2616
0.3057 0.1568 0.7392
0.2309 0.9953 0.3903
0.2374 0.0078 0.8862
0.5655 0.6782 0.3818
0.9510 0.3517 0.8962
0.9111 0.3110 0.3835
0.7691 0.0047 0.6097
0.4513 0.3353 0.1176
0.7626 0.9922 0.1138
0.4345 0.3218 0.6182
0.0490 0.6483 0.1038
0.5487 0.6647 0.8824
0.0889 0.6890 0.6165
0.5000 0.5000 0.0000
0.1531 0.8205 0.4975
0.8469 0.1795 0.5025
0.1506 0.8262 0.9955
0.8494 0.1738 0.0045
```

E_tot (hartree per atom): -0.214
Space group: P-1 (2)
Size of the total moment (Bohr magnetons per cell): 14.00
Crystal system: triclinic
Density of states at the Fermi level (states/eV/cell): 5.48
Relative energy among the computed polymorphs (kJ/mol of formula units): 157